Record 1
Computed, not measured: a relaxed TbPmSm4Se8 crystal at the GGA-PBE level of DFT.

Cell lengths 8.581, 8.581, 8.587 Å; angles 60.02, 60.02, 60.00 degrees
Element x y z (fractional)
Se  0.767  0.245  0.743
Se  0.245  0.767  0.743
Se  0.758  0.758  0.726
Se  0.244  0.244  0.268
Se  0.227  0.757  0.259
Se  0.757  0.227  0.259
Se  0.757  0.757  0.259
Se  0.245  0.245  0.743
Sm  0.498  0.001  0.501
Sm  0.001  0.498  0.501
Sm  0.625  0.625  0.125
Sm  0.001  0.001  0.501
Tb  0.375  0.375  0.876
Pm  0.001  0.001  0.998

Spin magnetization, μB/f.u.: 0.00
SG: R3m (160)
DFT total energy, eV/atom: -5.737
Density of states at the Fermi level, states/eV per atom: 0.63
Raw formation energy, eV/atom: -1.728

=====

Record 2
Computed, not measured: a relaxed Cd3AgN crystal at the GGA-PBE level of DFT.

Cell lengths 4.625, 4.625, 4.625 Å; angles 90.00, 90.00, 90.00 degrees
Element x y z (fractional)
Cd  0.000  0.500  0.000
Cd  0.500  0.000  0.000
Cd  0.000  0.000  0.500
N  0.000  0.000  0.000
Ag  0.500  0.500  0.500

Energy above the most stable polymorph in this dataset, eV/f.u.: 0.000
Spin magnetization, μB/f.u.: 0.00
SG: Pm-3m (221)
DFT total energy, eV/atom: -2.326
Density of states at the Fermi level, states/eV per atom: 0.22
Raw formation energy, eV/atom: 0.458

=====

Record 3
Computed, not measured: a relaxed Tb3DyCu2 crystal at the GGA-PBE level of DFT.

Cell lengths 4.925, 6.882, 8.748 Å; angles 90.00, 90.00, 90.00 degrees
Element x y z (fractional)
Tb  0.000  0.987  0.076
Tb  0.500  0.644  0.164
Tb  0.000  0.487  0.924
Tb  0.000  0.856  0.664
Tb  0.000  0.356  0.336
Tb  0.500  0.144  0.836
Cu  0.000  0.261  0.651
Cu  0.000  0.761  0.349
Cu  0.500  0.238  0.152
Cu  0.500  0.738  0.848
Dy  0.500  0.513  0.575
Dy  0.500  0.013  0.425

Energy above the most stable polymorph in this dataset, eV/f.u.: 0.000
Spin magnetization, μB/f.u.: 0.00
SG: Pmc2_1 (26)
DFT total energy, eV/atom: -4.604
Formation energy from the elements, eV per formula unit: -0.942
Density of states at the Fermi level, states/eV per atom: 1.03

=====

Record 4
Computed, not measured: a relaxed Nd2Th2Bi2C crystal at the GGA-PBE level of DFT.

Cell lengths 4.956, 4.956, 9.238 Å; angles 105.56, 105.56, 90.00 degrees
Element x y z (fractional)
Bi  0.356  0.356  0.712
Bi  0.644  0.644  0.288
Nd  0.840  0.840  0.679
Nd  0.160  0.160  0.321
Th  0.000  0.500  0.000
Th  0.500  0.000  0.000
C  0.000  0.000  0.000

Spin magnetization, μB/f.u.: 0.00
SG: I4/mmm (139)
DFT total energy, eV/atom: -6.451
Formation energy from the elements, eV per formula unit: -3.794
Density of states at the Fermi level, states/eV per atom: 1.05

=====

Record 5
Computed, not measured: a relaxed Ti3AuC crystal at the GGA-PBE level of DFT.

Cell lengths 7.248, 7.248, 7.248 Å; angles 43.38, 43.38, 43.38 degrees
Element x y z (fractional)
Ti  0.904  0.225  0.544
Ti  0.775  0.456  0.096
Ti  0.456  0.096  0.775
Ti  0.544  0.904  0.225
Ti  0.225  0.544  0.904
Ti  0.096  0.775  0.456
Au  0.663  0.663  0.663
Au  0.337  0.337  0.337
C  0.840  0.840  0.840
C  0.160  0.160  0.160

Energy above the most stable polymorph in this dataset, eV/f.u.: 1.189
Spin magnetization, μB/f.u.: 0.00
SG: R-3 (148)
DFT total energy, eV/atom: -7.621
Formation energy from the elements, eV per formula unit: -1.918
Density of states at the Fermi level, states/eV per atom: 0.78

=====

Record 6
Computed, not measured: a relaxed TlInBrCl crystal at the GGA-PBE level of DFT.

Cell lengths 4.531, 4.528, 8.442 Å; angles 89.99, 105.47, 120.20 degrees
Element x y z (fractional)
Tl  0.463  0.130  0.609
Br  0.305  0.551  0.871
In  0.143  0.969  0.127
Cl  0.967  0.380  0.363

Energy above the most stable polymorph in this dataset, eV/f.u.: 0.000
Spin magnetization, μB/f.u.: 0.00
SG: Cm (8)
DFT total energy, eV/atom: -2.966
Density of states at the Fermi level, states/eV per atom: 0.00
Raw formation energy, eV/atom: -0.810